[1]
{"formula": "Ac2Ga3Ge2", "functional": "PBE", "state": "relaxed", "lattice": [[-1.398, -4.198, -0.579], [3.508, 1.836, -4.589], [4.900, -2.278, 4.688]], "species": ["Ac", "Ac", "Ga", "Ga", "Ga", "Ge", "Ge"], "fractional_positions": [[0.620, 0.240, 0.313], [0.380, 0.760, 0.687], [0.303, 0.606, 0.133], [0.000, 0.000, 0.000], [0.697, 0.394, 0.867], [0.092, 0.183, 0.642], [0.908, 0.817, 0.358]]}

[2]
{"formula": "AcGaGe2", "functional": "PBE", "state": "relaxed", "relative_energy_mev_per_atom": 74, "lattice": [[4.604, 0.000, 0.000], [2.302, 3.988, 0.000], [2.302, 1.329, 5.364]], "species": ["Ac", "Ge", "Ge", "Ga"], "fractional_positions": [[0.500, 0.500, 0.500], [0.292, 0.292, 0.124], [0.708, 0.708, 0.876], [0.000, 0.000, 0.000]]}

[3]
{"formula": "Ac5GaGe2", "functional": "PBE", "state": "relaxed", "relative_energy_mev_per_atom": 0, "lattice": [[-5.405, 2.361, -5.979], [6.422, 1.655, -5.153], [-0.755, -9.184, 2.955]], "species": ["Ac", "Ac", "Ac", "Ac", "Ac", "Ac", "Ac", "Ac", "Ac", "Ac", "Ga", "Ga", "Ge", "Ge", "Ge", "Ge"], "fractional_positions": [[0.528, 0.683, 0.712], [0.817, 0.972, 0.288], [0.000, 0.000, 0.000], [0.500, 0.500, 0.000], [0.183, 0.028, 0.712], [0.683, 0.183, 0.712], [0.028, 0.528, 0.712], [0.317, 0.817, 0.288], [0.972, 0.472, 0.288], [0.472, 0.317, 0.288], [0.750, 0.750, 0.500], [0.250, 0.250, 0.500], [0.124, 0.376, 0.000], [0.624, 0.124, 0.000], [0.376, 0.876, 0.000], [0.876, 0.624, 0.000]]}

Calculated calculated formation energy, -0.48 -0.39 -0.51 eV/atom (same order as the records).